(1)
The following is a DFT calculation (GGA-PBE) of ZrNpAg after structural relaxation.

a b c (Å): 6.5889 6.5889 6.5889
angles (deg): 90.00 90.00 90.00
Atoms (fractional coordinates):
Zr 0.0000 0.0000 0.0000
Zr 0.0000 0.5000 0.5000
Zr 0.5000 0.0000 0.5000
Zr 0.5000 0.5000 0.0000
Np 0.2500 0.2500 0.7500
Np 0.2500 0.7500 0.2500
Np 0.7500 0.2500 0.2500
Np 0.7500 0.7500 0.7500
Ag 0.0000 0.0000 0.5000
Ag 0.0000 0.5000 0.0000
Ag 0.5000 0.0000 0.0000
Ag 0.5000 0.5000 0.5000

## Properties
As for the crystal system: cubic. As for the formation energy: 1.053 eV per atom.

(2)
The following is a DFT calculation (GGA-PBE) of DyTm2MoC3 after structural relaxation.

a b c (Å): 12.2673 3.3214 5.8563
angles (deg): 90.00 113.43 90.00
Atoms (fractional coordinates):
Dy 0.0000 0.0000 0.0000
Dy 0.5000 0.5000 0.0000
Tm 0.2397 0.5000 0.4565
Tm 0.4794 0.0000 0.5067
Tm 0.7397 0.0000 0.4565
Tm 0.9794 0.5000 0.5067
Mo 0.2640 0.0000 0.9751
Mo 0.7640 0.5000 0.9751
C 0.1472 0.5000 0.9614
C 0.3498 0.0000 0.7367
C 0.3667 0.5000 0.2285
C 0.6472 0.0000 0.9614
C 0.8498 0.5000 0.7367
C 0.8667 0.0000 0.2285

## Properties
As for the crystal system: monoclinic.

(3)
The following is a DFT calculation (GGA-PBE) of CdSiAu2S4 after structural relaxation.

a b c (Å): 7.8172 7.0946 6.5769
angles (deg): 90.00 90.00 90.00
Atoms (fractional coordinates):
Cd 0.0000 0.1399 0.0000
Cd 0.5000 0.8601 0.5000
Si 0.0000 0.8091 0.4469
Si 0.5000 0.1909 0.9469
Au 0.2029 0.2447 0.3745
Au 0.2971 0.7553 0.8745
Au 0.7029 0.7553 0.8745
Au 0.7971 0.2447 0.3745
S 0.0000 0.0888 0.5899
S 0.0000 0.7984 0.1239
S 0.2214 0.6514 0.5453
S 0.2786 0.3486 0.0453
S 0.5000 0.2016 0.6239
S 0.5000 0.9112 0.0899
S 0.7214 0.3486 0.0453
S 0.7786 0.6514 0.5453

## Properties
As for the crystal system: orthorhombic.

(4)
The following is a DFT calculation (GGA-PBE) of YLuCuSb after structural relaxation.

a b c (Å): 7.2450 7.2450 7.2450
angles (deg): 90.00 90.00 90.00
Atoms (fractional coordinates):
Y 0.0000 0.0000 0.0000
Y 0.0000 0.5000 0.5000
Y 0.5000 0.0000 0.5000
Y 0.5000 0.5000 0.0000
Lu 0.2500 0.2500 0.7500
Lu 0.2500 0.7500 0.2500
Lu 0.7500 0.2500 0.2500
Lu 0.7500 0.7500 0.7500
Cu 0.0000 0.0000 0.5000
Cu 0.0000 0.5000 0.0000
Cu 0.5000 0.0000 0.0000
Cu 0.5000 0.5000 0.5000
Sb 0.2500 0.2500 0.2500
Sb 0.2500 0.7500 0.7500
Sb 0.7500 0.2500 0.7500
Sb 0.7500 0.7500 0.2500

## Properties
As for the crystal system: cubic.

(5)
The following is a DFT calculation (GGA-PBE) of Nd3Sc3Te2Pd after structural relaxation.

a b c (Å): 8.4753 8.4753 3.8312
angles (deg): 90.00 90.00 120.00
Atoms (fractional coordinates):
Nd 0.0000 0.7432 0.0000
Nd 0.2568 0.2568 0.0000
Nd 0.7432 0.0000 0.0000
Sc 0.0000 0.4046 0.5000
Sc 0.4046 0.0000 0.5000
Sc 0.5954 0.5954 0.5000
Te 0.3333 0.6667 0.0000
Te 0.6667 0.3333 0.0000
Pd 0.0000 0.0000 0.5000

## Properties
As for the crystal system: hexagonal.

(6)
The following is a DFT calculation (GGA-PBE) of Zr2CdS4 after structural relaxation.

a b c (Å): 5.8840 5.8840 10.6816
angles (deg): 90.00 90.00 90.00
Atoms (fractional coordinates):
Zr 0.0000 0.0000 0.0000
Zr 0.0000 0.5000 0.2500
Zr 0.5000 0.0000 0.7500
Zr 0.5000 0.5000 0.5000
Cd 0.0000 0.5000 0.7500
Cd 0.5000 0.0000 0.2500
S 0.2349 0.2486 0.3836
S 0.2486 0.7651 0.6164
S 0.2514 0.7349 0.1164
S 0.2651 0.2514 0.8836
S 0.7349 0.7486 0.8836
S 0.7486 0.2651 0.1164
S 0.7514 0.2349 0.6164
S 0.7651 0.7514 0.3836

## Properties
As for the crystal system: tetragonal.

(7)
The following is a DFT calculation (GGA-PBE) of BaHfIr after structural relaxation.

a b c (Å): 6.7693 6.7693 6.7693
angles (deg): 90.00 90.00 90.00
Atoms (fractional coordinates):
Ba 0.0000 0.0000 0.0000
Ba 0.0000 0.5000 0.5000
Ba 0.5000 0.0000 0.5000
Ba 0.5000 0.5000 0.0000
Hf 0.2500 0.2500 0.7500
Hf 0.2500 0.7500 0.2500
Hf 0.7500 0.2500 0.2500
Hf 0.7500 0.7500 0.7500
Ir 0.2500 0.2500 0.2500
Ir 0.2500 0.7500 0.7500
Ir 0.7500 0.2500 0.7500
Ir 0.7500 0.7500 0.2500

## Properties
As for the crystal system: cubic.

(8)
The following is a DFT calculation (GGA-PBE) of Sm3Co2Ge4 after structural relaxation.

a b c (Å): 5.8480 5.8480 8.1401
angles (deg): 106.20 106.20 41.90
Atoms (fractional coordinates):
Sm 0.0000 0.0000 0.0000
Sm 0.3814 0.3814 0.3073
Sm 0.6186 0.6186 0.6927
Co 0.3039 0.3039 0.6261
Co 0.6961 0.6961 0.3739
Ge 0.1040 0.1040 0.3992
Ge 0.2875 0.2875 0.9166
Ge 0.7125 0.7125 0.0834
Ge 0.8960 0.8960 0.6008

## Properties
As for the crystal system: monoclinic.

(9)
The following is a DFT calculation (GGA-PBE) of Ho12TlCo6 after structural relaxation.

a b c (Å): 8.3106 8.3106 8.3106
angles (deg): 109.47 109.47 109.47
Atoms (fractional coordinates):
Ho 0.1088 0.8060 0.3027
Ho 0.1940 0.3027 0.4967
Ho 0.1940 0.6973 0.8912
Ho 0.3027 0.1088 0.8060
Ho 0.3027 0.4967 0.1940
Ho 0.4967 0.1940 0.3027
Ho 0.5033 0.8060 0.6973
Ho 0.6973 0.5033 0.8060
Ho 0.6973 0.8912 0.1940
Ho 0.8060 0.3027 0.1088
Ho 0.8060 0.6973 0.5033
Ho 0.8912 0.1940 0.6973
Tl 0.0000 0.0000 0.0000
Co 0.1134 0.6134 0.5000
Co 0.3866 0.5000 0.8866
Co 0.5000 0.1134 0.6134
Co 0.5000 0.8866 0.3866
Co 0.6134 0.5000 0.1134
Co 0.8866 0.3866 0.5000

## Properties
As for the crystal system: cubic.

(10)
The following is a DFT calculation (GGA-PBE) of DyMgCdAg after structural relaxation.

a b c (Å): 7.0798 7.0798 7.0798
angles (deg): 90.00 90.00 90.00
Atoms (fractional coordinates):
Dy 0.0000 0.0000 0.0000
Dy 0.0000 0.5000 0.5000
Dy 0.5000 0.0000 0.5000
Dy 0.5000 0.5000 0.0000
Mg 0.0000 0.0000 0.5000
Mg 0.0000 0.5000 0.0000
Mg 0.5000 0.0000 0.0000
Mg 0.5000 0.5000 0.5000
Cd 0.2500 0.2500 0.7500
Cd 0.2500 0.7500 0.2500
Cd 0.7500 0.2500 0.2500
Cd 0.7500 0.7500 0.7500
Ag 0.2500 0.2500 0.2500
Ag 0.2500 0.7500 0.7500
Ag 0.7500 0.2500 0.7500
Ag 0.7500 0.7500 0.2500

## Properties
As for the crystal system: cubic.

(11)
The following is a DFT calculation (GGA-PBE) of Ba2GaFeS6 after structural relaxation.

a b c (Å): 6.7889 6.7889 6.7889
angles (deg): 60.00 60.00 60.00
Atoms (fractional coordinates):
Ba 0.2500 0.2500 0.2500
Ba 0.7500 0.7500 0.7500
Ga 0.0000 0.0000 0.0000
Fe 0.5000 0.5000 0.5000
S 0.2555 0.2555 0.7445
S 0.2555 0.7445 0.2555
S 0.2555 0.7445 0.7445
S 0.7445 0.2555 0.2555
S 0.7445 0.2555 0.7445
S 0.7445 0.7445 0.2555

## Properties
As for the crystal system: cubic.

(12)
The following is a DFT calculation (GGA-PBE) of CsTaNO after structural relaxation.

a b c (Å): 4.4647 4.4647 7.7630
angles (deg): 90.00 90.00 90.00
Atoms (fractional coordinates):
Cs 0.2500 0.7500 0.0000
Cs 0.7500 0.2500 0.0000
Ta 0.2500 0.2500 0.4558
Ta 0.7500 0.7500 0.5442
N 0.2500 0.2500 0.2276
N 0.7500 0.7500 0.7724
O 0.2500 0.7500 0.5000
O 0.7500 0.2500 0.5000

## Properties
As for the crystal system: tetragonal.

| no. | total DFT energy (no corrections) (eV/atom) | volume (A^3/atom) |
| --- | --- | --- |
| 1 | -6.994 | 23.8 |
| 2 | -7.664 | 15.6 |
| 3 | -4.007 | 22.8 |
| 4 | -4.656 | 23.8 |
| 5 | -5.610 | 26.5 |
| 6 | -5.841 | 26.4 |
| 7 | -5.514 | 25.8 |
| 8 | -5.905 | 19.7 |
| 9 | -5.509 | 23.3 |
| 10 | -2.782 | 22.2 |
| 11 | -4.879 | 22.1 |
| 12 | -7.274 | 19.3 |